Record 1
# MoS2F | Alexandria via LeMat-Bulk | PBE+U | optimized geometry
data_MoS2F
_space_group_name_H-M_alt 'F m -3 m'
_space_group_IT_number 225
_space_group_name_Hall '-F 4 2 3'
_cell_length_a 6.0943
_cell_length_b 6.0943
_cell_length_c 6.0943
_cell_angle_alpha 90.00
_cell_angle_beta 90.00
_cell_angle_gamma 90.00
loop_
_atom_site_label
_atom_site_type_symbol
_atom_site_fract_x
_atom_site_fract_y
_atom_site_fract_z
Mo1 Mo 0.0000 0.0000 0.0000
S1 S 0.2500 0.2500 0.2500
F1 F 0.0000 0.0000 0.5000
# - excess energy over the best structure of this formula in the dataset (kJ/mol of formula units) = 16
# - E (eV/cell) = -73.94
# - DOS(E_F) (states/eV per atom) = 0.362

Record 2
# Mo2SF | Alexandria via LeMat-Bulk | PBE+U | optimized geometry
data_Mo2SF
_space_group_name_H-M_alt 'I -4 2 d'
_space_group_IT_number 122
_space_group_name_Hall 'I -4 2bw'
_cell_length_a 4.2674
_cell_length_b 4.2674
_cell_length_c 14.7973
_cell_angle_alpha 90.00
_cell_angle_beta 90.00
_cell_angle_gamma 90.00
loop_
_atom_site_label
_atom_site_type_symbol
_atom_site_fract_x
_atom_site_fract_y
_atom_site_fract_z
Mo1 Mo 0.2300 0.2500 0.1250
S1 S 0.0000 0.0000 0.5000
F1 F 0.0000 0.0000 0.0000
# - excess energy over the best structure of this formula in the dataset (kJ/mol of formula units) = 94
# - E (eV/cell) = -75.99
# - DOS(E_F) (states/eV per atom) = 0.552

Record 3
# MoS2F | Alexandria via LeMat-Bulk | PBE+U | optimized geometry
data_MoS2F
_space_group_name_H-M_alt 'I -4 2 d'
_space_group_IT_number 122
_space_group_name_Hall 'I -4 2bw'
_cell_length_a 5.9953
_cell_length_b 5.9953
_cell_length_c 9.6992
_cell_angle_alpha 90.00
_cell_angle_beta 90.00
_cell_angle_gamma 90.00
loop_
_atom_site_label
_atom_site_type_symbol
_atom_site_fract_x
_atom_site_fract_y
_atom_site_fract_z
Mo1 Mo 0.0000 0.0000 0.0000
S1 S 0.2120 0.2500 0.1250
F1 F 0.0000 0.0000 0.5000
# - excess energy over the best structure of this formula in the dataset (kJ/mol of formula units) = 80
# - E (eV/cell) = -71.31
# - DOS(E_F) (states/eV per atom) = 0.166

Record 4
# MoSF3 | Alexandria via LeMat-Bulk | PBE+U | optimized geometry
data_MoSF3
_space_group_name_H-M_alt 'P m -3 m'
_space_group_IT_number 221
_space_group_name_Hall '-P 4 2 3'
_cell_length_a 4.3203
_cell_length_b 4.3203
_cell_length_c 4.3203
_cell_angle_alpha 90.00
_cell_angle_beta 90.00
_cell_angle_gamma 90.00
loop_
_atom_site_label
_atom_site_type_symbol
_atom_site_fract_x
_atom_site_fract_y
_atom_site_fract_z
Mo1 Mo 0.0000 0.0000 0.0000
S1 S 0.5000 0.5000 0.5000
F1 F 0.0000 0.5000 0.5000
# - excess energy over the best structure of this formula in the dataset (kJ/mol of formula units) = 197
# - E (eV/cell) = -18.48
# - DOS(E_F) (states/eV per atom) = 0.285

Record 5
# MoSF3 | Alexandria via LeMat-Bulk | PBE+U | optimized geometry
data_MoSF3
_space_group_name_H-M_alt 'P m -3 m'
_space_group_IT_number 221
_space_group_name_Hall '-P 4 2 3'
_cell_length_a 4.1740
_cell_length_b 4.1740
_cell_length_c 4.1740
_cell_angle_alpha 90.00
_cell_angle_beta 90.00
_cell_angle_gamma 90.00
loop_
_atom_site_label
_atom_site_type_symbol
_atom_site_fract_x
_atom_site_fract_y
_atom_site_fract_z
Mo1 Mo 0.0000 0.0000 0.0000
S1 S 0.5000 0.5000 0.5000
F1 F 0.0000 0.0000 0.5000
# - excess energy over the best structure of this formula in the dataset (kJ/mol of formula units) = 0
# - E (eV/cell) = -20.52
# - DOS(E_F) (states/eV per atom) = 1.806

Record 6
# MoS2F | Alexandria via LeMat-Bulk | PBE+U | optimized geometry
data_MoS2F
_space_group_name_H-M_alt 'R -3 m'
_space_group_IT_number 166
_space_group_name_Hall '-R 3 2"'
_cell_length_a 3.4908
_cell_length_b 3.4908
_cell_length_c 20.9683
_cell_angle_alpha 90.00
_cell_angle_beta 90.00
_cell_angle_gamma 120.00
loop_
_atom_site_label
_atom_site_type_symbol
_atom_site_fract_x
_atom_site_fract_y
_atom_site_fract_z
Mo1 Mo 0.0000 0.0000 0.0000
S1 S 0.0000 0.0000 0.4010
F1 F 0.0000 0.0000 0.5000
# - excess energy over the best structure of this formula in the dataset (kJ/mol of formula units) = 0
# - E (eV/cell) = -55.96
# - DOS(E_F) (states/eV per atom) = 0.305

Record 7
# Mo2SF | Alexandria via LeMat-Bulk | PBE+U | optimized geometry
data_Mo2SF
_space_group_name_H-M_alt 'F m -3 m'
_space_group_IT_number 225
_space_group_name_Hall '-F 4 2 3'
_cell_length_a 6.6045
_cell_length_b 6.6045
_cell_length_c 6.6045
_cell_angle_alpha 90.00
_cell_angle_beta 90.00
_cell_angle_gamma 90.00
loop_
_atom_site_label
_atom_site_type_symbol
_atom_site_fract_x
_atom_site_fract_y
_atom_site_fract_z
Mo1 Mo 0.2500 0.2500 0.2500
S1 S 0.0000 0.0000 0.0000
F1 F 0.0000 0.0000 0.5000
# - excess energy over the best structure of this formula in the dataset (kJ/mol of formula units) = 0
# - E (eV/cell) = -79.89
# - DOS(E_F) (states/eV per atom) = 0.598

Record 8
# Tc2MoSF | Alexandria via LeMat-Bulk | PBE+U | optimized geometry
data_Tc2MoSF
_space_group_name_H-M_alt 'P 4/m m m'
_space_group_IT_number 123
_space_group_name_Hall '-P 4 2'
_cell_length_a 4.0530
_cell_length_b 4.0530
_cell_length_c 5.1730
_cell_angle_alpha 90.00
_cell_angle_beta 90.00
_cell_angle_gamma 90.00
loop_
_atom_site_label
_atom_site_type_symbol
_atom_site_fract_x
_atom_site_fract_y
_atom_site_fract_z
Tc1 Tc 0.0000 0.5000 0.0000
Mo1 Mo 0.0000 0.0000 0.5000
S1 S 0.5000 0.5000 0.5000
F1 F 0.5000 0.5000 0.0000
# - E (eV/cell) = -29.66
# - DOS(E_F) (states/eV per atom) = 0.491

Record 9
# TcMoS2F | Alexandria via LeMat-Bulk | PBE+U | optimized geometry
data_TcMoS2F
_space_group_name_H-M_alt 'P 4/m m m'
_space_group_IT_number 123
_space_group_name_Hall '-P 4 2'
_cell_length_a 4.3950
_cell_length_b 4.3950
_cell_length_c 5.8327
_cell_angle_alpha 90.00
_cell_angle_beta 90.00
_cell_angle_gamma 90.00
loop_
_atom_site_label
_atom_site_type_symbol
_atom_site_fract_x
_atom_site_fract_y
_atom_site_fract_z
Tc1 Tc 0.0000 0.0000 0.0000
Mo1 Mo 0.0000 0.0000 0.5000
S1 S 0.0000 0.5000 0.0000
F1 F 0.5000 0.5000 0.5000
# - E (eV/cell) = -27.07
# - DOS(E_F) (states/eV per atom) = 0.467

Record 10
# TlMo2SF | Alexandria via LeMat-Bulk | PBE+U | optimized geometry
data_TlMo2SF
_space_group_name_H-M_alt 'P 4/m m m'
_space_group_IT_number 123
_space_group_name_Hall '-P 4 2'
_cell_length_a 5.7752
_cell_length_b 5.7752
_cell_length_c 4.9748
_cell_angle_alpha 90.00
_cell_angle_beta 90.00
_cell_angle_gamma 90.00
loop_
_atom_site_label
_atom_site_type_symbol
_atom_site_fract_x
_atom_site_fract_y
_atom_site_fract_z
Tl1 Tl 0.0000 0.0000 0.0000
Mo1 Mo 0.0000 0.5000 0.0000
S1 S 0.0000 0.0000 0.5000
F1 F 0.5000 0.5000 0.5000
# - E (eV/cell) = -17.15
# - DOS(E_F) (states/eV per atom) = 0.588

Record 11
# ZnMoSF2 | Alexandria via LeMat-Bulk | PBE+U | optimized geometry
data_ZnMoSF2
_space_group_name_H-M_alt 'P 4/m m m'
_space_group_IT_number 123
_space_group_name_Hall '-P 4 2'
_cell_length_a 3.7778
_cell_length_b 3.7778
_cell_length_c 7.5804
_cell_angle_alpha 90.00
_cell_angle_beta 90.00
_cell_angle_gamma 90.00
loop_
_atom_site_label
_atom_site_type_symbol
_atom_site_fract_x
_atom_site_fract_y
_atom_site_fract_z
Zn1 Zn 0.0000 0.0000 0.0000
Mo1 Mo 0.0000 0.0000 0.5000
S1 S 0.5000 0.5000 0.5000
F1 F 0.0000 0.5000 0.0000
# - E (eV/cell) = -21.72
# - DOS(E_F) (states/eV per atom) = 0.013

Record 12
# SbMo2F | Alexandria via LeMat-Bulk | PBE+U | optimized geometry
data_SbMo2F
_space_group_name_H-M_alt 'F m -3 m'
_space_group_IT_number 225
_space_group_name_Hall '-F 4 2 3'
_cell_length_a 6.8789
_cell_length_b 6.8789
_cell_length_c 6.8789
_cell_angle_alpha 90.00
_cell_angle_beta 90.00
_cell_angle_gamma 90.00
loop_
_atom_site_label
_atom_site_type_symbol
_atom_site_fract_x
_atom_site_fract_y
_atom_site_fract_z
Sb1 Sb 0.0000 0.0000 0.0000
Mo1 Mo 0.2500 0.2500 0.2500
F1 F 0.0000 0.0000 0.5000
# - excess energy over the best structure of this formula in the dataset (kJ/mol of formula units) = 29
# - E (eV/cell) = -78.67
# - DOS(E_F) (states/eV per atom) = 0.306

Record 13
# SbMo3F | Alexandria via LeMat-Bulk | PBE+U | optimized geometry
data_SbMo3F
_space_group_name_H-M_alt 'P m -3 m'
_space_group_IT_number 221
_space_group_name_Hall '-P 4 2 3'
_cell_length_a 4.3923
_cell_length_b 4.3923
_cell_length_c 4.3923
_cell_angle_alpha 90.00
_cell_angle_beta 90.00
_cell_angle_gamma 90.00
loop_
_atom_site_label
_atom_site_type_symbol
_atom_site_fract_x
_atom_site_fract_y
_atom_site_fract_z
Sb1 Sb 0.0000 0.0000 0.0000
Mo1 Mo 0.0000 0.5000 0.5000
F1 F 0.5000 0.5000 0.5000
# - excess energy over the best structure of this formula in the dataset (kJ/mol of formula units) = 0
# - E (eV/cell) = -21.87
# - DOS(E_F) (states/eV per atom) = 0.303

Record 14
# Sb3MoF | Alexandria via LeMat-Bulk | PBE+U | optimized geometry
data_Sb3MoF
_space_group_name_H-M_alt 'P m -3 m'
_space_group_IT_number 221
_space_group_name_Hall '-P 4 2 3'
_cell_length_a 4.9152
_cell_length_b 4.9152
_cell_length_c 4.9152
_cell_angle_alpha 90.00
_cell_angle_beta 90.00
_cell_angle_gamma 90.00
loop_
_atom_site_label
_atom_site_type_symbol
_atom_site_fract_x
_atom_site_fract_y
_atom_site_fract_z
Sb1 Sb 0.0000 0.0000 0.5000
Mo1 Mo 0.5000 0.5000 0.5000
F1 F 0.0000 0.0000 0.0000
# - excess energy over the best structure of this formula in the dataset (kJ/mol of formula units) = 0
# - E (eV/cell) = -20.47
# - DOS(E_F) (states/eV per atom) = 0.492

| no. | volume (Å³/atom) | M_tot (μB/f.u.) |
| --- | --- | --- |
| 1 | 14.1 | 2.01 |
| 2 | 16.8 | 4.25 |
| 3 | 21.8 | 1.00 |
| 4 | 16.1 | 4.84 |
| 5 | 14.5 | 1.83 |
| 6 | 18.4 | 1.51 |
| 7 | 18.0 | 9.00 |
| 8 | 17.0 | 1.20 |
| 9 | 22.5 | 3.97 |
| 10 | 33.2 | 9.52 |
| 11 | 21.6 | 4.00 |
| 12 | 20.3 | 8.00 |
| 13 | 16.9 | 3.35 |
| 14 | 23.7 | 3.39 |